First-principles (PBE) data for HoScMn after structural relaxation, as listed in the Alexandria database. Values from VASP.

Cell and atoms, written as Quantum ESPRESSO input:
```
&SYSTEM
  ibrav = 0, nat = 3, ntyp = 3
/
ATOMIC_SPECIES
Ho 164.93 Ho.upf
Sc 44.96 Sc.upf
Mn 54.94 Mn.upf
ATOMIC_POSITIONS angstrom
Ho 0.000 0.000 0.000
Sc 0.000 0.000 3.330
Mn 0.000 0.000 7.819
CELL_PARAMETERS angstrom
-1.677 1.677 6.020
1.677 -1.677 6.020
1.677 1.677 -6.020
```

Fermi-level density of states (states/eV per cell): 4.7
Uncorrected energy (eV/atom): -6.577
Formation energy (meV per atom): 116